DFT (PBE) results for Sm3ErTl4Se8 after structural relaxation.

Structure (POSCAR):
```
Sm3ErTl4Se8
1.0
4.244 2.450 7.766
-4.244 2.450 7.766
0.000 -4.900 7.766
Sm Er Tl Se
3 1 4 8
Direct
0.000 0.500 0.500
0.500 0.000 0.500
0.500 0.500 0.000
0.000 0.000 0.000
0.000 0.000 0.500
0.000 0.500 0.000
0.500 0.000 0.000
0.500 0.500 0.500
0.232 0.232 0.742
0.232 0.742 0.232
0.258 0.768 0.768
0.264 0.264 0.264
0.736 0.736 0.736
0.742 0.232 0.232
0.768 0.258 0.768
0.768 0.768 0.258
```

Results
**V**: 30.284 A^3/atom
**Formation energy (no corrections)**: -133.30 kJ/mol of atoms